(1)
Compound: Li2CaSm2Tl2
Source: Alexandria
Functional: PBE
Structure: optimized geometry

Unit cell a=9.6775 b=9.6775 c=9.6775 alpha=29.36 beta=29.36 gamma=29.36
With the nearest neighbours (Å) after each atom.
Element x y z (fractional)
Li: 0.1061 0.1061 0.1061  3 Tl 2.86
Li: 0.8939 0.8939 0.8939  3 Tl 2.86
Ca: 0.5000 0.5000 0.5000  6 Li 3.29, 6 Tl 3.51, 2 Sm 3.53
Sm: 0.3727 0.3727 0.3727  3 Tl 3.19, 3 Li 3.38, 1 Ca 3.53
Sm: 0.6273 0.6273 0.6273  3 Tl 3.19, 3 Li 3.38, 1 Ca 3.53
Tl: 0.2413 0.2413 0.2413  3 Li 2.86, 3 Sm 3.19
Tl: 0.7587 0.7587 0.7587  3 Li 2.86, 3 Sm 3.19

Computed properties:
The calculation puts the volume at 193 Å³/cell. The total energy comes out at -3.05 eV/atom. The density of states at the Fermi level comes out at 4.616 states/eV/f.u. The formation energy from the elements is -1.3 eV/f.u.



(2)
Compound: NdNi2C
Source: Alexandria
Functional: PBE
Structure: optimized geometry

Unit cell a=3.5882 b=3.5882 c=15.0932 alpha=90.00 beta=90.00 gamma=120.00
With the nearest neighbours (Å) after each atom.
Element x y z (fractional)
Nd: 0.0000 0.0000 0.0000  8 Ni 2.88-3.03
Nd: 0.3333 0.6667 0.6667  8 Ni 2.88-3.03
Nd: 0.6667 0.3333 0.3333  8 Ni 2.88-3.03
Ni: 0.0000 0.0000 0.2005  3 C 2.13, 3 Ni 2.31
Ni: 0.0000 0.0000 0.7995  3 C 2.13, 3 Ni 2.31
Ni: 0.3333 0.6667 0.4661  3 C 2.13, 3 Ni 2.31
Ni: 0.3333 0.6667 0.8672  3 C 2.13, 3 Ni 2.31
Ni: 0.6667 0.3333 0.1328  3 C 2.13, 3 Ni 2.31
Ni: 0.6667 0.3333 0.5339  3 C 2.13, 3 Ni 2.31
C: 0.0000 0.0000 0.5000  6 Ni 2.13
C: 0.3333 0.6667 0.1667  6 Ni 2.13
C: 0.6667 0.3333 0.8333  6 Ni 2.13

Computed properties:
The calculation puts the volume at 168 Å³/cell. The total energy comes out at -6.17 eV/atom. The density of states at the Fermi level comes out at 2.581 states/eV/f.u. The calculation puts the distance to the lowest polymorph of the same formula at 368 meV per atom. The formation energy from the elements is 0.9 eV/f.u.



(3)
Compound: Tb2YBi3
Source: Alexandria
Functional: PBE
Structure: optimized geometry

Unit cell a=4.4908 b=6.3460 c=13.4749 alpha=90.00 beta=90.00 gamma=90.00
With the nearest neighbours (Å) after each atom.
Element x y z (fractional)
Tb: 0.0000 0.0000 0.1668  6 Bi 3.17-3.18
Tb: 0.0000 0.0000 0.8332  6 Bi 3.17-3.18
Tb: 0.5000 0.5000 0.3332  6 Bi 3.17-3.18
Tb: 0.5000 0.5000 0.6668  6 Bi 3.17-3.18
Y: 0.0000 0.0000 0.5000  6 Bi 3.17
Y: 0.5000 0.5000 0.0000  6 Bi 3.17
Bi: 0.0000 0.5000 0.1664  4 Tb 3.17-3.18, 2 Y 3.17
Bi: 0.0000 0.5000 0.5000  2 Y 3.17, 4 Tb 3.18
Bi: 0.0000 0.5000 0.8336  4 Tb 3.17-3.18, 2 Y 3.17
Bi: 0.5000 0.0000 0.0000  2 Y 3.17, 4 Tb 3.18
Bi: 0.5000 0.0000 0.3336  4 Tb 3.17-3.18, 2 Y 3.17
Bi: 0.5000 0.0000 0.6664  4 Tb 3.17-3.18, 2 Y 3.17

Computed properties:
The calculation puts the volume at 384 Å³/cell. The total energy comes out at -5.45 eV/atom. The density of states at the Fermi level comes out at 1.284 states/eV/f.u. The formation energy from the elements is -5.3 eV/f.u.



(4)
Compound: LaZr2Sc2
Source: Alexandria
Functional: PBE
Structure: optimized geometry

Unit cell a=8.8267 b=8.8267 c=3.4161 alpha=90.00 beta=90.00 gamma=90.00
With the nearest neighbours (Å) after each atom.
Element x y z (fractional)
La: 0.0000 0.0000 0.0000  2 La 3.42, 4 Zr 3.53, 8 Sc 3.69
La: 0.5000 0.5000 0.0000  2 La 3.42, 4 Zr 3.53, 8 Sc 3.69
Zr: 0.1186 0.3814 0.0000  1 Zr 2.96, 6 Sc 3.11-3.13
Zr: 0.3814 0.8814 0.0000  1 Zr 2.96, 6 Sc 3.11-3.13
Zr: 0.6186 0.1186 0.0000  1 Zr 2.96, 6 Sc 3.11-3.13
Zr: 0.8814 0.6186 0.0000  1 Zr 2.96, 6 Sc 3.11-3.13
Sc: 0.1717 0.6717 0.5000  6 Zr 3.11-3.13, 2 Sc 3.42
Sc: 0.3283 0.1717 0.5000  6 Zr 3.11-3.13, 2 Sc 3.42
Sc: 0.6717 0.8283 0.5000  6 Zr 3.11-3.13, 2 Sc 3.42
Sc: 0.8283 0.3283 0.5000  6 Zr 3.11-3.13, 2 Sc 3.42

Computed properties:
The calculation puts the volume at 266 Å³/cell. The total energy comes out at -6.84 eV/atom. The density of states at the Fermi level comes out at 7.809 states/eV/f.u. The calculation puts the distance to the lowest polymorph of the same formula at 0 meV per atom. The formation energy from the elements is 0.5 eV/f.u.



volume of number 1 (Li2CaSm2Tl2)?
193 Å³/cell



Repeat the first record exactly.
Compound: Li2CaSm2Tl2
Source: Alexandria
Functional: PBE
Structure: optimized geometry

Unit cell a=9.6775 b=9.6775 c=9.6775 alpha=29.36 beta=29.36 gamma=29.36
With the nearest neighbours (Å) after each atom.
Element x y z (fractional)
Li: 0.1061 0.1061 0.1061  3 Tl 2.86
Li: 0.8939 0.8939 0.8939  3 Tl 2.86
Ca: 0.5000 0.5000 0.5000  6 Li 3.29, 6 Tl 3.51, 2 Sm 3.53
Sm: 0.3727 0.3727 0.3727  3 Tl 3.19, 3 Li 3.38, 1 Ca 3.53
Sm: 0.6273 0.6273 0.6273  3 Tl 3.19, 3 Li 3.38, 1 Ca 3.53
Tl: 0.2413 0.2413 0.2413  3 Li 2.86, 3 Sm 3.19
Tl: 0.7587 0.7587 0.7587  3 Li 2.86, 3 Sm 3.19

Computed properties:
The calculation puts the volume at 193 Å³/cell. The total energy comes out at -3.05 eV/atom. The density of states at the Fermi level comes out at 4.616 states/eV/f.u. The formation energy from the elements is -1.3 eV/f.u.